This record from Alexandria describes crystalline ScBr3 at its relaxed geometry. The functional is PBE-GGA.

Computed properties:
As for the space-group type: Fm-3m. The value obtained for the uncorrected energy is -3.616 eV/atom.

Geometry as POSCAR:
```
ScBr3
1.0
-0.155 -4.963 1.210
-2.996 -3.183 -2.648
2.085 -3.460 -3.131
Br Sc
3 1
direct
0.250 0.250 0.250 Br
0.750 0.750 0.750 Br
0.500 0.500 0.500 Br
0.000 0.000 0.000 Sc
```

***

This record from Alexandria describes crystalline ScBr3 at its relaxed geometry. The functional is PBE-GGA.

Computed properties:
As for the space-group type: Imm2. The value obtained for the uncorrected energy is -4.481 eV/atom.

Geometry as POSCAR:
```
ScBr3
1.0
7.097 -0.018 0.038
2.695 6.565 -0.038
-3.584 -5.236 3.180
Sc Br
1 3
direct
0.292 0.000 0.292 Sc
0.286 0.351 0.934 Br
0.006 0.500 0.506 Br
0.583 0.649 0.934 Br
```

***

This record from Alexandria describes crystalline ScBr3 at its relaxed geometry. The functional is PBE-GGA.

Computed properties:
As for the space-group type: P6_3/mmc. The value obtained for the uncorrected energy is -3.916 eV/atom.

Geometry as POSCAR:
```
ScBr3
1.0
8.872 0.000 0.000
-4.436 7.684 0.000
0.000 0.000 6.996
Br Sc
12 4
direct
0.500 0.000 0.000 Br
0.000 0.500 0.500 Br
0.257 0.129 0.250 Br
0.743 0.871 0.750 Br
0.500 0.000 0.500 Br
0.500 0.500 0.500 Br
0.871 0.129 0.250 Br
0.871 0.743 0.250 Br
0.000 0.500 0.000 Br
0.129 0.871 0.750 Br
0.129 0.257 0.750 Br
0.500 0.500 0.000 Br
0.667 0.333 0.750 Sc
0.000 0.000 0.000 Sc
0.000 0.000 0.500 Sc
0.333 0.667 0.250 Sc
```

***

This record from Alexandria describes crystalline ScBr at its relaxed geometry. The functional is PBE-GGA.

Computed properties:
As for the space-group type: P4/nmm. The value obtained for the uncorrected energy is -4.706 eV/atom.

Geometry as POSCAR:
```
ScBr
1.0
4.136 0.000 0.000
0.000 4.136 0.000
0.000 0.000 6.996
Br Sc
2 2
direct
0.250 0.250 0.283 Br
0.750 0.750 0.717 Br
0.750 0.250 0.000 Sc
0.250 0.750 0.000 Sc
```

***

This record from Alexandria describes crystalline ScBr3 at its relaxed geometry. The functional is PBE-GGA.

Computed properties:
As for the space-group type: Cmmm. The value obtained for the uncorrected energy is -3.381 eV/atom.

Geometry as POSCAR:
```
ScBr3
1.0
-3.734 -2.614 -1.481
1.135 -1.305 4.470
-3.171 3.496 1.826
Br Sc
3 1
direct
0.500 0.000 0.500 Br
0.500 0.500 0.000 Br
0.000 0.500 0.500 Br
0.000 0.000 0.000 Sc
```

***

This record from Alexandria describes crystalline Sc3Br at its relaxed geometry. The functional is PBE-GGA.

Computed properties:
As for the space-group type: I4/mmm. The value obtained for the uncorrected energy is -5.153 eV/atom.

Geometry as POSCAR:
```
Sc3Br
1.0
-0.414 0.173 -5.855
3.386 -3.723 -3.027
-3.715 -0.329 4.536
Sc Br
3 1
direct
0.250 0.750 0.500 Sc
0.750 0.250 0.500 Sc
0.500 0.500 0.000 Sc
0.000 0.000 0.000 Br
```

***

This record from Alexandria describes crystalline ScBr at its relaxed geometry. The functional is PBE-GGA.

Computed properties:
As for the space-group type: P4_2/mnm. The value obtained for the uncorrected energy is -4.596 eV/atom.

Geometry as POSCAR:
```
ScBr
1.0
5.551 0.000 0.000
0.000 5.551 0.000
0.000 0.000 5.610
Br Sc
4 4
direct
0.287 0.713 0.500 Br
0.713 0.287 0.500 Br
0.787 0.787 0.000 Br
0.213 0.213 0.000 Br
0.705 0.295 0.000 Sc
0.205 0.205 0.500 Sc
0.795 0.795 0.500 Sc
0.295 0.705 0.000 Sc
```

***

This record from Alexandria describes crystalline Sc3Br5 at its relaxed geometry. The functional is PBE-GGA.

Computed properties:
As for the space-group type: Cmmm. The value obtained for the uncorrected energy is -4.379 eV/atom.

Geometry as POSCAR:
```
Sc3Br5
1.0
4.766 -6.007 0.000
4.766 6.007 0.000
0.000 0.000 3.581
Sc Br
3 5
direct
0.203 0.797 0.500 Sc
0.500 0.500 0.000 Sc
0.797 0.203 0.500 Sc
0.302 0.302 0.500 Br
0.500 0.000 0.000 Br
0.000 0.000 0.000 Br
0.000 0.500 0.000 Br
0.698 0.698 0.500 Br
```

***

This record from Alexandria describes crystalline ScBr at its relaxed geometry. The functional is PBE-GGA.

Computed properties:
As for the space-group type: Pm-3n. The value obtained for the uncorrected energy is -4.276 eV/atom.

Geometry as POSCAR:
```
ScBr
1.0
-4.326 -4.068 4.684
6.141 -1.998 3.937
-0.880 6.055 4.446
Sc Br
6 6
direct
0.000 0.500 0.250 Sc
0.000 0.500 0.750 Sc
0.250 0.000 0.500 Sc
0.500 0.750 0.000 Sc
0.750 0.000 0.500 Sc
0.500 0.250 0.000 Sc
0.500 0.000 0.750 Br
0.500 0.000 0.250 Br
0.250 0.500 0.000 Br
0.750 0.500 0.000 Br
0.000 0.750 0.500 Br
0.000 0.250 0.500 Br
```

***

This record from Alexandria describes crystalline Sc8Br at its relaxed geometry. The functional is PBE-GGA.

Computed properties:
As for the space-group type: I4/mmm. The value obtained for the uncorrected energy is -5.855 eV/atom.

Geometry as POSCAR:
```
Sc8Br
1.0
3.780 -4.291 -5.675
-4.397 0.952 6.684
-6.263 1.582 -4.815
Sc Br
8 1
direct
0.331 0.331 0.662 Sc
0.000 0.342 0.342 Sc
0.669 0.331 0.000 Sc
0.342 0.000 0.342 Sc
0.658 0.000 0.658 Sc
0.331 0.669 0.000 Sc
0.669 0.669 0.338 Sc
0.000 0.658 0.658 Sc
0.000 0.000 0.000 Br
```

***

This record from Alexandria describes crystalline ScBr at its relaxed geometry. The functional is PBE-GGA.

Computed properties:
As for the space-group type: Fm-3m. The value obtained for the uncorrected energy is -4.542 eV/atom.

Geometry as POSCAR:
```
ScBr
1.0
-3.556 -1.054 1.398
-0.843 -3.828 0.587
-0.341 -1.411 3.688
Br Sc
1 1
direct
0.000 0.000 0.000 Br
0.500 0.500 0.500 Sc
```

***

This record from Alexandria describes crystalline Sc3Br at its relaxed geometry. The functional is PBE-GGA.

Computed properties:
As for the space-group type: P4/mmm. The value obtained for the uncorrected energy is -5.490 eV/atom.

Geometry as POSCAR:
```
Sc3Br
1.0
3.298 0.000 0.000
0.000 3.298 0.000
0.000 0.000 8.777
Sc Br
3 1
direct
0.500 0.500 0.755 Sc
0.000 0.000 0.500 Sc
0.500 0.500 0.245 Sc
0.000 0.000 0.000 Br
```

***

| no. | formation energy from raw total energies (meV/atom) |
| --- | --- |
| 1 | -778 |
| 2 | -1644 |
| 3 | -1078 |
| 4 | -704 |
| 5 | -544 |
| 6 | 14 |
| 7 | -594 |
| 8 | -959 |
| 9 | -274 |
| 10 | -41 |
| 11 | -540 |
| 12 | -323 |